(1)
Density functional theory data (PBE) for a relaxed In12As5Pb3 crystal.

abc: 14.879 14.879 14.879
angles: 109.47 109.47 109.47
Positions (direct):
1 In 0.049 0.221 0.133
2 In 0.049 0.327 0.916
3 In 0.084 0.633 0.412
4 In 0.084 0.951 0.673
5 In 0.088 0.721 0.673
6 In 0.088 0.867 0.416
7 In 0.133 0.049 0.221
8 In 0.133 0.584 0.912
9 In 0.173 0.221 0.588
10 In 0.173 0.451 0.584
11 In 0.221 0.133 0.049
12 In 0.221 0.588 0.173
13 In 0.279 0.327 0.912
14 In 0.279 0.451 0.367
15 In 0.327 0.912 0.279
16 In 0.327 0.916 0.049
17 In 0.367 0.279 0.451
18 In 0.367 0.588 0.916
19 In 0.412 0.084 0.633
20 In 0.412 0.827 0.779
21 In 0.416 0.088 0.867
22 In 0.416 0.827 0.549
23 In 0.451 0.367 0.279
24 In 0.451 0.584 0.173
25 In 0.549 0.416 0.827
26 In 0.549 0.633 0.721
27 In 0.584 0.173 0.451
28 In 0.584 0.912 0.133
29 In 0.588 0.173 0.221
30 In 0.588 0.916 0.367
31 In 0.633 0.412 0.084
32 In 0.633 0.721 0.549
33 In 0.673 0.084 0.951
34 In 0.673 0.088 0.721
35 In 0.721 0.549 0.633
36 In 0.721 0.673 0.088
37 In 0.779 0.412 0.827
38 In 0.779 0.867 0.951
39 In 0.827 0.549 0.416
40 In 0.827 0.779 0.412
41 In 0.867 0.416 0.088
42 In 0.867 0.951 0.779
43 In 0.912 0.133 0.584
44 In 0.912 0.279 0.327
45 In 0.916 0.049 0.327
46 In 0.916 0.367 0.588
47 In 0.951 0.673 0.084
48 In 0.951 0.779 0.867
49 As 0.000 0.000 0.000
50 As 0.000 0.000 0.500
51 As 0.000 0.500 0.000
52 As 0.000 0.500 0.500
53 As 0.125 0.750 0.875
54 As 0.125 0.875 0.250
55 As 0.250 0.125 0.875
56 As 0.250 0.625 0.375
57 As 0.375 0.250 0.625
58 As 0.375 0.625 0.750
59 As 0.500 0.000 0.000
60 As 0.500 0.000 0.500
61 As 0.500 0.500 0.000
62 As 0.500 0.500 0.500
63 As 0.625 0.375 0.250
64 As 0.625 0.750 0.375
65 As 0.750 0.375 0.625
66 As 0.750 0.875 0.125
67 As 0.875 0.125 0.750
68 As 0.875 0.250 0.125
69 Pb 0.125 0.250 0.375
70 Pb 0.125 0.375 0.750
71 Pb 0.250 0.375 0.125
72 Pb 0.250 0.875 0.625
73 Pb 0.375 0.125 0.250
74 Pb 0.375 0.750 0.125
75 Pb 0.625 0.250 0.875
76 Pb 0.625 0.875 0.750
77 Pb 0.750 0.125 0.375
78 Pb 0.750 0.625 0.875
79 Pb 0.875 0.625 0.250
80 Pb 0.875 0.750 0.625

---

(2)
Density functional theory data (PBE) for a relaxed In2AsPb crystal.

abc: 6.046 6.046 3.244
angles: 95.48 95.48 115.02
Positions (direct):
1 In 0.000 0.500 0.000
2 In 0.500 0.000 0.000
3 As 0.000 0.000 0.500
4 Pb 0.500 0.500 0.500

## Properties
polymorph energy (0 for the lowest one) = 0.58 eV per formula unit

---

(3)
Density functional theory data (PBE) for a relaxed In2AsPb crystal.

abc: 4.533 4.545 5.207
angles: 90.00 90.00 90.00
Positions (direct):
1 In 0.000 0.000 0.000
2 In 0.500 0.500 0.000
3 As 0.000 0.500 0.500
4 Pb 0.500 0.000 0.500

## Properties
polymorph energy (0 for the lowest one) = 0.38 eV per formula unit

---

(4)
Density functional theory data (PBE) for a relaxed InAsPb2 crystal.

abc: 3.342 5.176 6.515
angles: 90.00 99.83 90.00
Positions (direct):
1 In 0.000 0.000 0.000
2 As 0.000 0.000 0.500
3 Pb 0.360 0.500 0.735
4 Pb 0.640 0.500 0.265

## Properties
polymorph energy (0 for the lowest one) = 0.33 eV per formula unit

---

(5)
Density functional theory data (PBE) for a relaxed InAsPb2 crystal.

abc: 5.850 5.850 3.391
angles: 94.53 94.53 106.13
Positions (direct):
1 In 0.000 0.000 0.000
2 As 0.500 0.500 0.000
3 Pb 0.000 0.500 0.500
4 Pb 0.500 0.000 0.500

## Properties
polymorph energy (0 for the lowest one) = 0.31 eV per formula unit

---

(6)
Density functional theory data (PBE) for a relaxed InAsPb2 crystal.

abc: 5.384 5.384 5.384
angles: 60.00 60.00 60.00
Positions (direct):
1 In 0.000 0.000 0.000
2 As 0.750 0.750 0.750
3 Pb 0.250 0.250 0.250
4 Pb 0.500 0.500 0.500

## Properties
polymorph energy (0 for the lowest one) = 0.41 eV per formula unit

---

(7)
Density functional theory data (PBE) for a relaxed InAsPb2 crystal.

abc: 5.391 5.391 5.391
angles: 60.00 60.00 60.00
Positions (direct):
1 In 0.000 0.000 0.000
2 As 0.500 0.500 0.500
3 Pb 0.250 0.250 0.250
4 Pb 0.750 0.750 0.750

## Properties
polymorph energy (0 for the lowest one) = 0.33 eV per formula unit

---

(8)
Density functional theory data (PBE) for a relaxed InAs2Pb2 crystal.

abc: 6.275 6.275 6.275
angles: 127.91 127.91 76.77
Positions (direct):
1 In 0.000 0.000 0.000
2 As 0.374 0.374 0.000
3 As 0.626 0.626 0.000
4 Pb 0.250 0.750 0.500
5 Pb 0.750 0.250 0.500

## Properties
polymorph energy (0 for the lowest one) = 0.15 eV per formula unit

---

(9)
Density functional theory data (PBE) for a relaxed In2AsPb crystal.

abc: 3.950 3.950 6.974
angles: 90.00 90.00 90.00
Positions (direct):
1 In 0.000 0.000 0.000
2 In 0.500 0.500 0.278
3 As 0.500 0.500 0.877
4 Pb 0.000 0.000 0.514

## Properties
polymorph energy (0 for the lowest one) = 0.21 eV per formula unit

---

(10)
Density functional theory data (PBE) for a relaxed In2AsPb crystal.

abc: 5.816 5.816 5.816
angles: 132.02 132.02 70.19
Positions (direct):
1 In 0.000 0.000 0.000
2 In 0.750 0.250 0.500
3 As 0.500 0.500 0.000
4 Pb 0.250 0.750 0.500

## Properties
polymorph energy (0 for the lowest one) = 0.45 eV per formula unit

---

(11)
Density functional theory data (PBE) for a relaxed InAs2Pb2 crystal.

abc: 9.636 9.636 9.636
angles: 157.01 157.01 32.74
Positions (direct):
1 In 0.000 0.000 0.000
2 As 0.250 0.750 0.500
3 As 0.750 0.250 0.500
4 Pb 0.391 0.391 0.000
5 Pb 0.609 0.609 0.000

## Properties
polymorph energy (0 for the lowest one) = 0.19 eV per formula unit

---

(12)
Density functional theory data (PBE) for a relaxed InAsPb2 crystal.

abc: 3.301 5.079 6.879
angles: 90.00 102.45 90.00
Positions (direct):
1 In 0.000 0.000 0.000
2 As 0.422 0.500 0.831
3 Pb 0.280 0.000 0.546
4 Pb 0.640 0.500 0.274

## Properties
polymorph energy (0 for the lowest one) = 0.19 eV per formula unit

---

no.,uncorrected energy (eV/atom),magnetization (μB/cell)
1,-3.289,0.000
2,-3.327,0.000
3,-3.376,0.000
4,-3.571,0.000
5,-3.576,0.000
6,-3.550,0.000
7,-3.570,0.000
8,-3.779,0.000
9,-3.418,0.000
10,-3.360,0.000
11,-3.771,0.000
12,-3.604,0.000